(1)
The following is a PBE-GGA calculation of a geometry-optimized CsMgNiHg2 structure, from Alexandria.

The value obtained for the calculated density is 7.1 g/cm3. The calculated total energy is -1.802 eV/atom. As for the density of states at the Fermi level: 1.64 states/eV/cell. Its crystal system is tetragonal. The calculation puts the formation energy at -0.0349 eV per atom. The value obtained for the total magnetization is 0.00 μB per formula unit.

It has space group P4/mmm (No. 123), with a = 5.317 Å, b = 5.317 Å, c = 5.084 Å, α = 90.00°, β = 90.00° and γ = 90.00°. Symmetry generates all atoms from Cs at (0.000, 0.000, 0.000), Mg at (0.500, 0.500, 0.000), Ni at (0.500, 0.500, 0.500) and Hg at (0.000, 0.500, 0.500).

(2)
The following is a PBE-GGA calculation of a geometry-optimized CsMgHgP structure, from Alexandria.

The value obtained for the calculated density is 4.8 g/cm3. The calculated total energy is -2.514 eV/atom. As for the density of states at the Fermi level: 4.44 states/eV/cell. Its crystal system is tetragonal. The calculation puts the formation energy at -0.4744 eV per atom. The value obtained for the total magnetization is 0.00 μB per formula unit.

It has space group P4/nmm (No. 129, origin choice 2), with a = 4.476 Å, b = 4.476 Å, c = 13.448 Å, α = 90.00°, β = 90.00° and γ = 90.00°. Symmetry generates all atoms from Cs at (0.250, 0.250, 0.239), Mg at (0.250, 0.750, 0.000), Hg at (0.250, 0.750, 0.500) and P at (0.250, 0.250, 0.897).

(3)
The following is a PBE-GGA calculation of a geometry-optimized Cs2MgHgP structure, from Alexandria.

The value obtained for the calculated density is 3.5 g/cm3. The calculated total energy is -1.986 eV/atom. As for the density of states at the Fermi level: 2.38 states/eV/cell. Its crystal system is tetragonal. The calculation puts the formation energy at -0.1834 eV per atom. The value obtained for the total magnetization is 0.00 μB per formula unit.

It has space group P4/mmm (No. 123), with a = 7.218 Å, b = 7.218 Å, c = 4.814 Å, α = 90.00°, β = 90.00° and γ = 90.00°. Symmetry generates all atoms from Cs at (0.000, 0.500, 0.000), Mg at (0.000, 0.000, 0.500), Hg at (0.500, 0.500, 0.500) and P at (0.000, 0.000, 0.000).

(4)
The following is a PBE-GGA calculation of a geometry-optimized CsMgHg2Pb structure, from Alexandria.

The value obtained for the calculated density is 6.8 g/cm3. The calculated total energy is -1.397 eV/atom. As for the density of states at the Fermi level: 3.78 states/eV/cell. Its crystal system is tetragonal. The calculation puts the formation energy at -0.0453 eV per atom. The value obtained for the total magnetization is 0.00 μB per formula unit.

It has space group P4/mmm (No. 123), with a = 5.780 Å, b = 5.780 Å, c = 5.607 Å, α = 90.00°, β = 90.00° and γ = 90.00°. Symmetry generates all atoms from Cs at (0.000, 0.000, 0.000), Mg at (0.500, 0.500, 0.500), Hg at (0.000, 0.500, 0.500) and Pb at (0.500, 0.500, 0.000).

(5)
The following is a PBE-GGA calculation of a geometry-optimized Cs2MgHg3Pb4 structure, from Alexandria.

The value obtained for the calculated density is 8.2 g/cm3. The calculated total energy is -2.019 eV/atom. As for the density of states at the Fermi level: 4.72 states/eV/cell. Its crystal system is tetragonal. The calculation puts the formation energy at -0.1152 eV per atom. The value obtained for the total magnetization is 0.00 μB per formula unit.

It has space group P-4m2 (No. 115), with a = 5.180 Å, b = 5.180 Å, c = 13.016 Å, α = 90.00°, β = 90.00° and γ = 90.00°. Symmetry generates all atoms from Cs at (0.000, 0.500, 0.247), Mg at (0.500, 0.500, 0.000), Hg at (0.000, 0.000, 0.000), Hg at (0.000, 0.500, 0.640), Pb at (0.000, 0.000, 0.500), Pb at (0.000, 0.500, 0.874) and Pb at (0.500, 0.500, 0.500).

(6)
The following is a PBE-GGA calculation of a geometry-optimized CsMg2HgPt structure, from Alexandria.

The value obtained for the calculated density is 6.4 g/cm3. The calculated total energy is -2.368 eV/atom. As for the density of states at the Fermi level: 1.75 states/eV/cell. Its crystal system is tetragonal. The calculation puts the formation energy at -0.2909 eV per atom. The value obtained for the total magnetization is 0.00 μB per formula unit.

It has space group P4/mmm (No. 123), with a = 5.215 Å, b = 5.215 Å, c = 5.521 Å, α = 90.00°, β = 90.00° and γ = 90.00°. Symmetry generates all atoms from Cs at (0.000, 0.000, 0.000), Mg at (0.000, 0.500, 0.500), Hg at (0.500, 0.500, 0.000) and Pt at (0.500, 0.500, 0.500).

- Which of these has the highest calculated total energy?
  CsMgHg2Pb

- Among the records above, which one has the highest calculated total energy?
  CsMgHg2Pb

- Which value of calculated total energy does entry 6 give?
  -2.368 eV/atom